Entry 1:
# Sr2Zn4Ga2Ir

A relaxed structure of Sr2Zn4Ga2Ir (PBE, Alexandria via LeMat-Bulk).

Computed properties:
Its calculated total energy is -2.880 eV/atom. The value obtained for the density of states at the Fermi level is 6.72 states/eV/cell.

a = 6.385 Å, b = 6.385 Å, c = 6.385 Å
α = 119.05°, β = 119.05°, γ = 91.65°
Positions (direct):
1 Sr 0.250 0.750 0.500
2 Sr 0.750 0.250 0.500
3 Zn 0.220 0.220 0.439
4 Zn 0.220 0.780 0.000
5 Zn 0.780 0.220 0.000
6 Zn 0.780 0.780 0.561
7 Ga 0.216 0.216 0.000
8 Ga 0.784 0.784 0.000
9 Ir 0.500 0.500 0.000

***

Entry 2:
# SrZn2GaIr

A relaxed structure of SrZn2GaIr (PBE, Alexandria via LeMat-Bulk).

Computed properties:
Its calculated total energy is -3.604 eV/atom. The value obtained for the density of states at the Fermi level is 1.81 states/eV/cell.

a = 4.902 Å, b = 4.902 Å, c = 4.770 Å
α = 90.00°, β = 90.00°, γ = 90.00°
Positions (direct):
1 Sr 0.000 0.000 0.000
2 Zn 0.000 0.500 0.500
3 Zn 0.500 0.000 0.500
4 Ga 0.500 0.500 0.000
5 Ir 0.500 0.500 0.500

***

Entry 3:
# TaGaIr2

A relaxed structure of TaGaIr2 (PBE, Alexandria via LeMat-Bulk).

Computed properties:
Its calculated total energy is -8.551 eV/atom. The value obtained for the density of states at the Fermi level is 2.03 states/eV/cell.

a = 4.087 Å, b = 4.087 Å, c = 3.705 Å
α = 90.00°, β = 90.00°, γ = 90.00°
Positions (direct):
1 Ta 0.000 0.000 0.000
2 Ga 0.500 0.500 0.000
3 Ir 0.000 0.500 0.500
4 Ir 0.500 0.000 0.500

***

Entry 4:
# TaGaIr2

A relaxed structure of TaGaIr2 (PBE, Alexandria via LeMat-Bulk).

Computed properties:
Its calculated total energy is -8.730 eV/atom. The value obtained for the density of states at the Fermi level is 2.31 states/eV/cell.

a = 2.926 Å, b = 2.926 Å, c = 7.091 Å
α = 90.00°, β = 90.00°, γ = 90.00°
Positions (direct):
1 Ta 0.000 0.000 0.000
2 Ga 0.000 0.000 0.500
3 Ir 0.500 0.500 0.268
4 Ir 0.500 0.500 0.732

***

Entry 5:
# TaGaIr3

A relaxed structure of TaGaIr3 (PBE, Alexandria via LeMat-Bulk).

Computed properties:
Its calculated total energy is -6.879 eV/atom. The value obtained for the density of states at the Fermi level is 3.53 states/eV/cell.

a = 4.812 Å, b = 4.812 Å, c = 4.812 Å
α = 90.00°, β = 90.00°, γ = 90.00°
Positions (direct):
1 Ta 0.000 0.000 0.000
2 Ga 0.500 0.500 0.500
3 Ir 0.000 0.000 0.500
4 Ir 0.000 0.500 0.000
5 Ir 0.500 0.000 0.000

***

Entry 6:
# Ta2Ga2Ir

A relaxed structure of Ta2Ga2Ir (PBE, Alexandria via LeMat-Bulk).

Computed properties:
Its calculated total energy is -7.991 eV/atom. The value obtained for the density of states at the Fermi level is 5.23 states/eV/cell.

a = 6.364 Å, b = 6.364 Å, c = 4.005 Å
α = 90.00°, β = 90.00°, γ = 90.00°
Positions (direct):
1 Ta 0.164 0.336 0.000
2 Ta 0.336 0.836 0.000
3 Ta 0.664 0.164 0.000
4 Ta 0.836 0.664 0.000
5 Ga 0.137 0.637 0.500
6 Ga 0.363 0.137 0.500
7 Ga 0.637 0.863 0.500
8 Ga 0.863 0.363 0.500
9 Ir 0.000 0.000 0.500
10 Ir 0.500 0.500 0.500

***

Entry 7:
# Ta3GaIr

A relaxed structure of Ta3GaIr (PBE, Alexandria via LeMat-Bulk).

Computed properties:
Its calculated total energy is -8.485 eV/atom. The value obtained for the density of states at the Fermi level is 6.99 states/eV/cell.

a = 4.856 Å, b = 4.856 Å, c = 4.856 Å
α = 90.00°, β = 90.00°, γ = 90.00°
Positions (direct):
1 Ta 0.000 0.000 0.500
2 Ta 0.000 0.500 0.000
3 Ta 0.500 0.000 0.000
4 Ga 0.500 0.500 0.500
5 Ir 0.000 0.000 0.000

***

Entry 8:
# TaGa3Ir

A relaxed structure of TaGa3Ir (PBE, Alexandria via LeMat-Bulk).

Computed properties:
Its calculated total energy is -5.277 eV/atom. The value obtained for the density of states at the Fermi level is 4.71 states/eV/cell.

a = 4.721 Å, b = 4.721 Å, c = 4.721 Å
α = 90.00°, β = 90.00°, γ = 90.00°
Positions (direct):
1 Ta 0.000 0.000 0.000
2 Ga 0.000 0.500 0.500
3 Ga 0.500 0.000 0.500
4 Ga 0.500 0.500 0.000
5 Ir 0.500 0.500 0.500

***

Entry 9:
# TaGaIr2

A relaxed structure of TaGaIr2 (PBE, Alexandria via LeMat-Bulk).

Computed properties:
Its calculated total energy is -7.821 eV/atom. The value obtained for the density of states at the Fermi level is 1.78 states/eV/cell.

a = 6.649 Å, b = 6.649 Å, c = 6.649 Å
α = 127.11°, β = 127.11°, γ = 78.08°
Positions (direct):
1 Ta 0.000 0.000 0.000
2 Ta 0.750 0.250 0.500
3 Ga 0.250 0.750 0.500
4 Ga 0.500 0.500 0.000
5 Ir 0.131 0.625 0.006
6 Ir 0.375 0.381 0.506
7 Ir 0.619 0.125 0.994
8 Ir 0.875 0.869 0.494

***

Entry 10:
# Ta2GaIr

A relaxed structure of Ta2GaIr (PBE, Alexandria via LeMat-Bulk).

Computed properties:
Its calculated total energy is -9.222 eV/atom. The value obtained for the density of states at the Fermi level is 3.63 states/eV/cell.

a = 4.030 Å, b = 4.030 Å, c = 4.024 Å
α = 90.00°, β = 90.00°, γ = 90.00°
Positions (direct):
1 Ta 0.000 0.500 0.000
2 Ta 0.500 0.000 0.000
3 Ga 0.000 0.000 0.500
4 Ir 0.500 0.500 0.500

***

Entry 11:
# Ta3GaIr4

A relaxed structure of Ta3GaIr4 (PBE, Alexandria via LeMat-Bulk).

Computed properties:
Its calculated total energy is -9.792 eV/atom. The value obtained for the density of states at the Fermi level is 6.64 states/eV/cell.

a = 2.879 Å, b = 3.793 Å, c = 11.586 Å
α = 90.00°, β = 90.00°, γ = 90.00°
Positions (direct):
1 Ta 0.000 0.000 0.000
2 Ta 0.000 0.000 0.255
3 Ta 0.000 0.000 0.745
4 Ga 0.000 0.000 0.500
5 Ir 0.500 0.500 0.125
6 Ir 0.500 0.500 0.380
7 Ir 0.500 0.500 0.620
8 Ir 0.500 0.500 0.875

***

Entry 12:
# TaGaIr3

A relaxed structure of TaGaIr3 (PBE, Alexandria via LeMat-Bulk).

Computed properties:
Its calculated total energy is -7.275 eV/atom. The value obtained for the density of states at the Fermi level is 10.18 states/eV/cell.

a = 4.476 Å, b = 4.476 Å, c = 4.476 Å
α = 90.00°, β = 90.00°, γ = 90.00°
Positions (direct):
1 Ta 0.000 0.000 0.000
2 Ga 0.500 0.500 0.500
3 Ir 0.000 0.500 0.500
4 Ir 0.500 0.000 0.500
5 Ir 0.500 0.500 0.000